Compound: SrMgAg2Au4
Source: the Alexandria database
Functional: PBE
Structure: relaxed

Summary:
- DOS(E_F): 1.41 states/eV/f.u.
- Crystal system: trigonal
- Energy relative to the elements: -0.371 eV/atom
- Total DFT energy (no corrections): -0.1151 hartree per atom

The structure in CIF format:
```
data_SrMgAg2Au4
_cell_length_a 4.7151
_cell_length_b 4.7151
_cell_length_c 26.5094
_cell_angle_alpha 90.00
_cell_angle_beta 90.00
_cell_angle_gamma 120.00
_space_group_name_H-M_alt 'R -3 m'
_space_group_IT_number 166
_space_group_name_Hall '-R 3 2"'
loop_
_atom_site_label
_atom_site_fract_x
_atom_site_fract_y
_atom_site_fract_z
Sr1 0.0000 0.0000 0.0000
Mg1 0.0000 0.0000 0.5000
Ag1 0.0000 0.0000 0.2413
Au1 0.0000 0.0000 0.1309
Au2 0.0000 0.0000 0.3980
```

***

Compound: Sr2MgAgAu6
Source: the Alexandria database
Functional: PBE
Structure: relaxed

Summary:
- DOS(E_F): 4.14 states/eV/f.u.
- Crystal system: triclinic
- Energy relative to the elements: -0.468 eV/atom
- Total DFT energy (no corrections): -0.1182 hartree per atom

The structure in CIF format:
```
data_Sr2MgAgAu6
_cell_length_a 5.532
_cell_length_b 7.119
_cell_length_c 7.389
_cell_angle_alpha 81.80
_cell_angle_beta 68.02
_cell_angle_gamma 67.24
_space_group_name_H-M_alt 'P -1'
_space_group_IT_number 2
_space_group_name_Hall '-P 1'
loop_
_atom_site_label
_atom_site_fract_x
_atom_site_fract_y
_atom_site_fract_z
Sr1 0.045 0.218 0.190
Mg1 0.500 0.000 0.500
Ag1 0.500 0.500 0.000
Au1 0.007 0.241 0.744
Au2 0.349 0.400 0.400
Au3 0.490 0.760 0.256
```

***

Compound: TbMg2AgAu4
Source: the Alexandria database
Functional: PBE
Structure: relaxed

Summary:
- DOS(E_F): 2.40 states/eV/f.u.
- Crystal system: trigonal
- Energy relative to the elements: -0.541 eV/atom
- Total DFT energy (no corrections): -0.1291 hartree per atom

The structure in CIF format:
```
data_TbMg2AgAu4
_cell_length_a 4.7561
_cell_length_b 4.7561
_cell_length_c 24.1776
_cell_angle_alpha 90.00
_cell_angle_beta 90.00
_cell_angle_gamma 120.00
_space_group_name_H-M_alt 'R -3 m'
_space_group_IT_number 166
_space_group_name_Hall '-R 3 2"'
loop_
_atom_site_label
_atom_site_fract_x
_atom_site_fract_y
_atom_site_fract_z
Tb1 0.0000 0.0000 0.0000
Mg1 0.0000 0.0000 0.2421
Ag1 0.0000 0.0000 0.5000
Au1 0.0000 0.0000 0.1231
Au2 0.0000 0.0000 0.3828
```

***

Compound: TbMgAgAu
Source: the Alexandria database
Functional: PBE
Structure: relaxed

Summary:
- DOS(E_F): 3.90 states/eV/f.u.
- Crystal system: cubic
- Energy relative to the elements: -0.541 eV/atom
- Total DFT energy (no corrections): -0.1334 hartree per atom

The structure in CIF format:
```
data_TbMgAgAu
_cell_length_a 6.980
_cell_length_b 6.980
_cell_length_c 6.980
_cell_angle_alpha 90.00
_cell_angle_beta 90.00
_cell_angle_gamma 90.00
_space_group_name_H-M_alt 'F -4 3 m'
_space_group_IT_number 216
_space_group_name_Hall 'F -4 2 3'
loop_
_atom_site_label
_atom_site_fract_x
_atom_site_fract_y
_atom_site_fract_z
Tb1 0.000 0.000 0.000
Mg1 0.000 0.000 0.500
Ag1 0.250 0.250 0.750
Au1 0.250 0.250 0.250
```

***

Compound: ThMgAgAu
Source: the Alexandria database
Functional: PBE
Structure: relaxed

Summary:
- DOS(E_F): 3.21 states/eV/f.u.
- Crystal system: cubic
- Energy relative to the elements: -0.421 eV/atom
- Total DFT energy (no corrections): -0.1546 hartree per atom

The structure in CIF format:
```
data_ThMgAgAu
_cell_length_a 7.151
_cell_length_b 7.151
_cell_length_c 7.151
_cell_angle_alpha 90.00
_cell_angle_beta 90.00
_cell_angle_gamma 90.00
_space_group_name_H-M_alt 'F -4 3 m'
_space_group_IT_number 216
_space_group_name_Hall 'F -4 2 3'
loop_
_atom_site_label
_atom_site_fract_x
_atom_site_fract_y
_atom_site_fract_z
Th1 0.000 0.000 0.000
Mg1 0.000 0.000 0.500
Ag1 0.250 0.250 0.250
Au1 0.250 0.250 0.750
```

***

Compound: ThMg2AgAu4
Source: the Alexandria database
Functional: PBE
Structure: relaxed

Summary:
- DOS(E_F): 4.13 states/eV/f.u.
- Crystal system: trigonal
- Energy relative to the elements: -0.505 eV/atom
- Total DFT energy (no corrections): -0.1406 hartree per atom

The structure in CIF format:
```
data_ThMg2AgAu4
_cell_length_a 4.6634
_cell_length_b 4.6634
_cell_length_c 26.4865
_cell_angle_alpha 90.00
_cell_angle_beta 90.00
_cell_angle_gamma 120.00
_space_group_name_H-M_alt 'R -3 m'
_space_group_IT_number 166
_space_group_name_Hall '-R 3 2"'
loop_
_atom_site_label
_atom_site_fract_x
_atom_site_fract_y
_atom_site_fract_z
Th1 0.0000 0.0000 0.0000
Mg1 0.0000 0.0000 0.2325
Ag1 0.0000 0.0000 0.5000
Au1 0.0000 0.0000 0.1198
Au2 0.0000 0.0000 0.3921
```

***

Compound: MgTi2AgAu
Source: the Alexandria database
Functional: PBE
Structure: relaxed

Summary:
- DOS(E_F): 7.03 states/eV/f.u.
- Crystal system: tetragonal
- Energy relative to the elements: 1.062 eV/atom
- Total DFT energy (no corrections): -0.1338 hartree per atom

The structure in CIF format:
```
data_MgTi2AgAu
_cell_length_a 4.846
_cell_length_b 4.846
_cell_length_c 4.653
_cell_angle_alpha 90.00
_cell_angle_beta 90.00
_cell_angle_gamma 90.00
_space_group_name_H-M_alt 'P 4/m m m'
_space_group_IT_number 123
_space_group_name_Hall '-P 4 2'
loop_
_atom_site_label
_atom_site_fract_x
_atom_site_fract_y
_atom_site_fract_z
Mg1 0.000 0.000 0.000
Ti1 0.000 0.500 0.000
Ag1 0.500 0.500 0.500
Au1 0.000 0.000 0.500
```

***

Compound: MgTlAgAu
Source: the Alexandria database
Functional: PBE
Structure: relaxed

Summary:
- DOS(E_F): 1.85 states/eV/f.u.
- Crystal system: cubic
- Energy relative to the elements: -0.124 eV/atom
- Total DFT energy (no corrections): -0.0972 hartree per atom

The structure in CIF format:
```
data_MgTlAgAu
_cell_length_a 6.863
_cell_length_b 6.863
_cell_length_c 6.863
_cell_angle_alpha 90.00
_cell_angle_beta 90.00
_cell_angle_gamma 90.00
_space_group_name_H-M_alt 'F -4 3 m'
_space_group_IT_number 216
_space_group_name_Hall 'F -4 2 3'
loop_
_atom_site_label
_atom_site_fract_x
_atom_site_fract_y
_atom_site_fract_z
Mg1 0.000 0.000 0.000
Tl1 0.000 0.000 0.500
Ag1 0.250 0.250 0.250
Au1 0.250 0.250 0.750
```

***

Compound: TmMg2AgAu4
Source: the Alexandria database
Functional: PBE
Structure: relaxed

Summary:
- DOS(E_F): 2.03 states/eV/f.u.
- Crystal system: trigonal
- Energy relative to the elements: -0.555 eV/atom
- Total DFT energy (no corrections): -0.1289 hartree per atom

The structure in CIF format:
```
data_TmMg2AgAu4
_cell_length_a 4.7724
_cell_length_b 4.7724
_cell_length_c 23.4636
_cell_angle_alpha 90.00
_cell_angle_beta 90.00
_cell_angle_gamma 120.00
_space_group_name_H-M_alt 'R -3 m'
_space_group_IT_number 166
_space_group_name_Hall '-R 3 2"'
loop_
_atom_site_label
_atom_site_fract_x
_atom_site_fract_y
_atom_site_fract_z
Tm1 0.0000 0.0000 0.0000
Mg1 0.0000 0.0000 0.2444
Ag1 0.0000 0.0000 0.5000
Au1 0.0000 0.0000 0.1233
Au2 0.0000 0.0000 0.3772
```

***

Compound: TmMgAgAu
Source: the Alexandria database
Functional: PBE
Structure: relaxed

Summary:
- DOS(E_F): 3.39 states/eV/f.u.
- Crystal system: cubic
- Energy relative to the elements: -0.550 eV/atom
- Total DFT energy (no corrections): -0.1322 hartree per atom

The structure in CIF format:
```
data_TmMgAgAu
_cell_length_a 6.900
_cell_length_b 6.900
_cell_length_c 6.900
_cell_angle_alpha 90.00
_cell_angle_beta 90.00
_cell_angle_gamma 90.00
_space_group_name_H-M_alt 'F -4 3 m'
_space_group_IT_number 216
_space_group_name_Hall 'F -4 2 3'
loop_
_atom_site_label
_atom_site_fract_x
_atom_site_fract_y
_atom_site_fract_z
Tm1 0.000 0.000 0.000
Mg1 0.000 0.000 0.500
Ag1 0.250 0.250 0.250
Au1 0.250 0.250 0.750
```